! CaTm2In9 | the Alexandria database | PBE-GGA | relaxed; values from VASP
! ΔH_f (0 K)   -0.355 eV/atom
! E   -3.32 eV per atom
! Total magnetic moment   0.00 μB/f.u.
&SYSTEM
  ibrav = 0, nat = 12, ntyp = 3
/
ATOMIC_SPECIES
In 114.82 In.upf
Ca 40.08 Ca.upf
Tm 168.93 Tm.upf
ATOMIC_POSITIONS angstrom
In -5.568 -10.265 -1.656
In 0.356 -0.194 -3.265
In -5.355 -4.624 -1.967
In -5.294 -7.555 -3.444
Ca 0.000 0.000 0.000
In 0.030 -2.971 -1.478
Tm -5.623 -7.327 -0.178
In -2.474 -3.881 -3.355
Tm -2.856 -3.721 -0.091
In -2.769 -6.618 -1.567
In -2.556 -0.977 -1.878
In -8.154 -8.271 -2.056
CELL_PARAMETERS angstrom
-2.230 1.801 -3.665
2.942 -2.188 -2.865
-8.479 -11.048 -0.269